## AcLa2AgRu (PBE-GGA)

Data for an optimized crystal structure of AcLa2AgRu.

Results
Space group: P4mm, No. 99
DOS(E_F) in states/eV per cell: 4.4
Energy of formation from the pure elements in eV/atom: -0.13

Geometry as POSCAR:
```
AcLa2AgRu
1.0
-3.562 -1.590 -3.800
2.648 -4.732 -0.503
-3.422 -2.361 4.196
La Ag Ac Ru
2 1 1 1
Direct
0.500 0.000 0.958
0.000 0.500 0.958
0.500 0.500 0.597
0.000 0.000 0.484
0.000 0.000 0.002
```

## AcLaAg2S4 (PBE-GGA)

Data for an optimized crystal structure of AcLaAg2S4.

Results
Space group: I222, No. 23
DOS(E_F) in states/eV per cell: 0.5
E_form (uncorrected) in eV per atom: -1.27

Geometry as POSCAR:
```
AcLaAg2S4
1.0
-3.449 -5.334 -2.883
-0.597 -5.705 2.832
-6.061 -1.432 1.462
S Ag La Ac
4 2 1 1
Direct
0.550 0.454 0.928
0.450 0.072 0.546
0.069 0.928 0.454
0.931 0.546 0.072
0.821 0.679 0.679
0.179 0.321 0.321
0.500 0.500 0.500
0.000 0.000 0.000
```

## AcLa2AgS5 (PBE-GGA)

Data for an optimized crystal structure of AcLa2AgS5.

Results
Space group: Cmc2_1, No. 36
E_form (uncorrected) in eV per atom: -1.76

Geometry as POSCAR:
```
AcLa2AgS5
1.0
4.136 0.000 0.000
-2.068 8.522 0.000
0.000 0.000 12.654
Ag La S Ac
2 4 10 2
Direct
0.495 0.989 0.485
0.505 0.011 0.985
0.876 0.753 0.178
0.124 0.247 0.678
0.117 0.233 0.301
0.883 0.767 0.801
0.304 0.607 0.661
0.493 0.985 0.289
0.299 0.597 0.324
0.696 0.393 0.161
0.352 0.703 0.002
0.648 0.297 0.502
0.031 0.061 0.092
0.701 0.403 0.824
0.507 0.015 0.789
0.969 0.939 0.592
0.180 0.360 0.992
0.820 0.640 0.492
```

## AcLaScAg (PBE-GGA)

Data for an optimized crystal structure of AcLaScAg.

Results
Space group: F-43m, No. 216
DOS(E_F) in states/eV per cell: 5.0
Energy of formation from the pure elements in eV/atom: 0.18

Geometry as POSCAR:
```
AcLaScAg
1.0
-1.474 5.208 -0.980
-1.775 1.462 -4.997
-5.298 1.259 -0.778
Sc Ag La Ac
1 1 1 1
Direct
0.000 0.000 0.000
0.750 0.750 0.750
0.500 0.500 0.500
0.250 0.250 0.250
```

## AcLaAg2Se4 (PBE-GGA)

Data for an optimized crystal structure of AcLaAg2Se4.

Results
Space group: I222, No. 23
DOS(E_F) in states/eV per cell: 0.8
E_form (uncorrected) in eV per atom: -1.19

Geometry as POSCAR:
```
AcLaAg2Se4
1.0
-1.902 -2.482 -6.562
-4.371 -4.910 -0.902
-5.446 2.016 -3.210
Ac Ag Se La
1 2 4 1
Direct
0.000 0.000 0.000
0.829 0.671 0.671
0.171 0.329 0.329
0.544 0.458 0.935
0.063 0.935 0.458
0.456 0.065 0.542
0.937 0.542 0.065
0.500 0.500 0.500
```

## Ac2LaAgSe5 (PBE-GGA)

Data for an optimized crystal structure of Ac2LaAgSe5.

Results
Space group: Cmc2_1, No. 36
E_form (uncorrected) in eV per atom: -1.70

Geometry as POSCAR:
```
Ac2LaAgSe5
1.0
-3.028 3.016 -0.901
-4.986 -7.126 3.488
1.337 4.904 11.930
Ac Ag Se La
4 2 10 2
Direct
0.123 0.245 0.309
0.877 0.755 0.809
0.888 0.777 0.185
0.112 0.223 0.685
0.452 0.904 0.462
0.548 0.096 0.962
0.309 0.618 0.345
0.956 0.913 0.574
0.291 0.582 0.669
0.499 0.998 0.773
0.360 0.720 0.001
0.709 0.418 0.169
0.044 0.087 0.074
0.501 0.002 0.273
0.691 0.382 0.845
0.640 0.280 0.501
0.805 0.611 0.507
0.195 0.389 0.007
```

Please write out number 1 again, unchanged.
## AcLa2AgRu (PBE-GGA)

Data for an optimized crystal structure of AcLa2AgRu.

Results
Space group: P4mm, No. 99
DOS(E_F) in states/eV per cell: 4.4
Energy of formation from the pure elements in eV/atom: -0.13

Geometry as POSCAR:
```
AcLa2AgRu
1.0
-3.562 -1.590 -3.800
2.648 -4.732 -0.503
-3.422 -2.361 4.196
La Ag Ac Ru
2 1 1 1
Direct
0.500 0.000 0.958
0.000 0.500 0.958
0.500 0.500 0.597
0.000 0.000 0.484
0.000 0.000 0.002
```